# 1
Computed, not measured: an optimized crystal structure of NdSmY6Tm2 at the PBE level of DFT.

Values from the calculation:
Energy of formation from the pure elements   121 meV per atom
Crystal system   monoclinic
Size of the total moment   0.0 μB per cell
Mass density   5.90 g/cm3

Cell: 9.590 8.785 8.785 Å, 116.68 93.85 93.85°
Positions (direct):
Nd1 0.250 0.408 0.592
Nd2 0.750 0.592 0.408
Sm1 0.250 0.971 0.029
Sm2 0.750 0.029 0.971
Y1 0.057 0.116 0.755
Y2 0.443 0.245 0.884
Y3 0.943 0.884 0.245
Y4 0.557 0.755 0.116
Y5 0.319 0.982 0.434
Y6 0.181 0.566 0.018
Y7 0.681 0.018 0.566
Y8 0.819 0.434 0.982
Y9 0.116 0.705 0.488
Y10 0.384 0.512 0.295
Y11 0.884 0.295 0.512
Y12 0.616 0.488 0.705
Tm1 0.451 0.805 0.704
Tm2 0.049 0.296 0.195
Tm3 0.549 0.195 0.296
Tm4 0.951 0.704 0.805

---

# 2
Computed, not measured: an optimized crystal structure of La2Dy3Pt2 at the PBE level of DFT.

Values from the calculation:
Energy of formation from the pure elements   -778 meV per atom
Crystal system   monoclinic
Size of the total moment   0.0 μB per cell
Mass density   9.74 g/cm3

Cell: 3.793 6.588 9.249 Å, 115.82 90.00 106.73°
Positions (direct):
La1 0.836 0.673 0.185
La2 0.164 0.327 0.815
Dy1 0.500 0.000 0.000
Dy2 0.617 0.235 0.434
Dy3 0.383 0.765 0.566
Pt1 0.832 0.664 0.757
Pt2 0.168 0.336 0.243

---

Repeat the second record exactly.
Computed, not measured: an optimized crystal structure of La2Dy3Pt2 at the PBE level of DFT.

Values from the calculation:
Energy of formation from the pure elements   -778 meV per atom
Crystal system   monoclinic
Size of the total moment   0.0 μB per cell
Mass density   9.74 g/cm3

Cell: 3.793 6.588 9.249 Å, 115.82 90.00 106.73°
Positions (direct):
La1 0.836 0.673 0.185
La2 0.164 0.327 0.815
Dy1 0.500 0.000 0.000
Dy2 0.617 0.235 0.434
Dy3 0.383 0.765 0.566
Pt1 0.832 0.664 0.757
Pt2 0.168 0.336 0.243

---

Q: Which value of size of the total moment does entry 1 give?
A: 0.0 μB per cell